[1]
TlIN2Cl PBE optimized geometry; crystal system = tetragonal; volume = 33.7 Å³ per atom; E_form (uncorrected) = 1.779 eV/atom; offset from the most stable computed form = 0.0768 eV per atom
1.0
4.535 0.000 0.000
0.000 4.535 0.000
0.000 0.000 8.191
Tl I N Cl
1 1 2 1
Direct
0.000 0.000 0.000
0.500 0.500 0.000
0.000 0.500 0.500
0.500 0.000 0.500
0.500 0.500 0.500

---

[2]
K4LiCu3F12 PBE optimized geometry; crystal system = cubic; volume = 13.3 Å³ per atom; E_form (uncorrected) = -2.241 eV/atom
1.0
-4.056 4.056 4.056
4.056 -4.056 4.056
4.056 4.056 -4.056
K Li Cu F
4 1 3 12
Direct
0.000 0.000 0.500
0.000 0.500 0.000
0.500 0.000 0.000
0.500 0.500 0.500
0.000 0.000 0.000
0.000 0.500 0.500
0.500 0.000 0.500
0.500 0.500 0.000
0.000 0.262 0.262
0.000 0.738 0.738
0.250 0.500 0.750
0.250 0.750 0.500
0.262 0.000 0.262
0.262 0.262 0.000
0.500 0.250 0.750
0.500 0.750 0.250
0.738 0.000 0.738
0.738 0.738 0.000
0.750 0.250 0.500
0.750 0.500 0.250

---

[3]
HfNbAl2 PBE optimized geometry; formation energy from the elements = -341 meV/atom; crystal system = tetragonal; volume = 17.8 Å³ per atom; offset from the most stable computed form = 0.0000 eV per atom
1.0
4.125 0.000 0.000
0.000 4.125 0.000
0.000 0.000 4.185
Hf Nb Al
1 1 2
Direct
0.000 0.000 0.000
0.500 0.500 0.000
0.000 0.500 0.500
0.500 0.000 0.500

---

[4]
Rb2ReW PBE optimized geometry; formation energy from the elements = 3476 meV/atom; crystal system = cubic; volume = 26.5 Å³ per atom; offset from the most stable computed form = 1.4992 eV per atom
1.0
0.000 3.754 3.754
3.754 0.000 3.754
3.754 3.754 0.000
Rb Re W
2 1 1
Direct
0.250 0.250 0.250
0.750 0.750 0.750
0.000 0.000 0.000
0.500 0.500 0.500

---

[5]
LiHfCd2 PBE optimized geometry; formation energy from the elements = 0 meV/atom; crystal system = cubic; volume = 20.0 Å³ per atom; offset from the most stable computed form = 0.1083 eV per atom
1.0
0.000 3.417 3.417
3.417 0.000 3.417
3.417 3.417 0.000
Li Hf Cd
1 1 2
Direct
0.000 0.000 0.000
0.500 0.500 0.500
0.250 0.250 0.250
0.750 0.750 0.750

---

[6]
ScP5 PBE optimized geometry; formation energy from the elements = -205 meV/atom; crystal system = orthorhombic; volume = 18.2 Å³ per atom
1.0
3.585 0.000 0.000
0.000 2.058 7.411
0.000 -2.058 7.411
Sc P
1 5
Direct
0.000 0.000 0.000
0.000 0.362 0.362
0.000 0.623 0.623
0.500 0.136 0.136
0.500 0.453 0.453
0.500 0.717 0.717

---

[7]
TaAgSe2 PBE optimized geometry; crystal system = monoclinic; volume = 20.2 Å³ per atom; E_form (uncorrected) = 0.232 eV/atom
1.0
3.507 -3.969 0.000
3.507 3.969 0.000
-1.170 0.000 2.897
Ta Ag Se
1 1 2
Direct
0.000 0.000 0.000
0.500 0.500 0.000
0.000 0.500 0.000
0.500 0.000 0.000

---

[8]
LiLa2AgB PBE optimized geometry; formation energy from the elements = 479 meV/atom; crystal system = tetragonal; volume = 23.4 Å³ per atom
1.0
5.450 0.000 0.000
0.000 5.450 0.000
0.000 0.000 3.933
Li La Ag B
1 2 1 1
Direct
0.000 0.000 0.000
0.000 0.500 0.000
0.500 0.000 0.000
0.500 0.500 0.500
0.000 0.000 0.500

---

no.,Fermi-level density of states (states/eV/f.u.),size of the total moment (μB/f.u.)
1,1.42,4.00
2,5.35,3.45
3,2.18,0.00
4,13.80,0.00
5,2.25,0.00
6,0.88,0.00
7,2.22,0.00
8,8.69,0.00